DFT (PBE+U) results for a relaxed NiPIO2 crystal.

Cell lengths 3.4960, 3.4960, 6.1828 Å; angles 90.00, 90.00, 90.00 degrees
Last column: nearest neighbours and their distance in Å.
Space group P4/mmm (No. 123)
Asymmetric unit:
Ni 0.0000 0.0000 0.0000  4 I 2.47
P 0.5000 0.5000 0.5000  4 O 1.75
I 0.5000 0.5000 0.0000  4 Ni 2.47
O 0.0000 0.5000 0.5000  2 P 1.75

Values from the calculation:
DOS(E_F)   1.34 states/eV/cell
E_tot   -3.9764 eV per atom
M_tot   0.000 Bohr magnetons per cell